Here is an optimized crystal structure of MnFe4O5 from Alexandria. Energies are from PBE with a Hubbard U.

Output
The calculated total energy comes out at -6.89 eV per atom. The value obtained for the total moment is 21.00 μB per cell.

Cell and atoms, written as extended XYZ:
```
10
Lattice="-0.493 -2.473 4.770 0.622 5.218 -1.221 -4.937 -0.846 -2.005" Properties=species:S:1:pos:R:3 pbc="T T T"
Mn 0.000 0.000 0.000
Fe -3.049 -0.464 0.470
Fe -1.147 -0.049 2.918
Fe -3.661 1.948 -1.375
Fe -1.760 2.364 1.074
O -0.553 3.718 -0.017
O -4.255 -1.819 1.561
O -1.923 0.963 -0.675
O 0.064 1.373 1.774
O -2.886 0.936 2.219
```